1.
The following is a PBEsol calculation of an optimized crystal structure of Li3TaS, from Alexandria.

The structure belongs to space group Pm-3m (No. 221); the cell edges are 4.537, 4.537 and 4.537 Å and the angles 90.00°, 90.00° and 90.00°. The inequivalent atoms are Li at (0.000, 0.000, 0.500), Ta at (0.500, 0.500, 0.500) and S at (0.000, 0.000, 0.000).

The energy relative to the elements, uncorrected is 0.476 eV/atom. The magnetic moment comes out at 4.04 μB/f.u.


2.
The following is a PBEsol calculation of an optimized crystal structure of Li2Ta3S6, from Alexandria.

The structure belongs to space group P6_322 (No. 182); the cell edges are 5.7320, 5.7320 and 12.8307 Å and the angles 90.00°, 90.00° and 120.00°. The inequivalent atoms are Li at (0.0000, 0.0000, 0.2500), Li at (0.3333, 0.6667, 0.2500), Ta at (0.0000, 0.0000, 0.0000), Ta at (0.3333, 0.6667, 0.9997) and S at (0.0018, 0.3352, 0.8785).

The energy relative to the elements, uncorrected is -1.331 eV/atom. The magnetic moment comes out at 0.00 μB/f.u.


Number 1: ρ 4.16 g/cm3. Number 2: ρ 6.81 g/cm3.